First-principles (PBE) data for UPaBr2 after structural relaxation, as listed in Alexandria via LeMat-Bulk.

```
data_UPaBr2
_chemical_formula_sum 'U3 Pa3 Br6'
_cell_length_a 3.4036
_cell_length_b 3.4036
_cell_length_c 31.5354
_cell_angle_alpha 90.00
_cell_angle_beta 90.00
_cell_angle_gamma 120.00
_space_group_name_H-M_alt 'R -3 m'
_space_group_IT_number 166
_space_group_name_Hall '-R 3 2"'
loop_
_atom_site_label
_atom_site_type_symbol
_atom_site_fract_x
_atom_site_fract_y
_atom_site_fract_z
U1 U 0.0000 0.0000 0.0000
Pa1 Pa 0.0000 0.0000 0.5000
Br1 Br 0.0000 0.0000 0.0961
```

Computed properties:
**E_form (uncorrected)**: -378 meV per atom
**Total energy**: -6.411 eV/atom
**DOS at the Fermi energy**: 21.25 states/eV/cell